Arrangement w

A plane-wave DFT calculation with PBE was carried out for a relaxed structure of LaMo2Os2.

Output
V: 177.7 Å³ per cell
DOS(E_F): 0.85 states/eV/atom

Unit cell a=7.8367 b=7.8367 c=2.8928 alpha=90.00 beta=90.00 gamma=90.00
Closest atoms and distances in Å follow each position.
Atoms (fractional coordinates):
La  0.0000  0.0000  0.0000  2 La 2.89, 4 Mo 2.96
La  0.5000  0.5000  0.0000  2 La 2.89, 4 Mo 2.96
Mo  0.1570  0.3430  0.0000  6 Os 2.69-2.75, 2 Mo 2.89, 2 La 2.96
Mo  0.3430  0.8430  0.0000  6 Os 2.69-2.75, 2 Mo 2.89, 2 La 2.96
Mo  0.6570  0.1570  0.0000  6 Os 2.69-2.75, 2 Mo 2.89, 2 La 2.96
Mo  0.8430  0.6570  0.0000  6 Os 2.69-2.75, 2 Mo 2.89, 2 La 2.96
Os  0.1317  0.6317  0.5000  6 Mo 2.69-2.75, 3 Os 2.89-2.92
Os  0.3683  0.1317  0.5000  6 Mo 2.69-2.75, 3 Os 2.89-2.92
Os  0.6317  0.8683  0.5000  6 Mo 2.69-2.75, 3 Os 2.89-2.92
Os  0.8683  0.3683  0.5000  6 Mo 2.69-2.75, 3 Os 2.89-2.92

Arrangement x

A plane-wave DFT calculation with PBE was carried out for a relaxed structure of LaMo2Os2.

Output
V: 101.5 Å³ per cell
DOS(E_F): 1.07 states/eV/atom

Unit cell a=6.1923 b=6.1923 c=6.1923 alpha=138.93 beta=138.93 gamma=59.48
Closest atoms and distances in Å follow each position.
Atoms (fractional coordinates):
La  0.0000  0.0000  0.0000  8 Mo 3.36, 8 Os 3.46
Mo  0.3732  0.3732  0.0000  4 Os 2.54, 1 Mo 2.73
Mo  0.6268  0.6268  0.0000  4 Os 2.54, 1 Mo 2.73
Os  0.2500  0.7500  0.5000  4 Mo 2.54
Os  0.7500  0.2500  0.5000  4 Mo 2.54

The most stable of them is arrangement w.

Arrangement w

A plane-wave DFT calculation with PBE was carried out for a relaxed structure of LaMo2Os2.

Output
V: 180.5 Å³ per cell
DOS(E_F): 1.20 states/eV/atom

Unit cell a=7.9523 b=7.9523 c=2.8548 alpha=90.00 beta=90.00 gamma=90.00
Closest atoms and distances in Å follow each position.
Atoms (fractional coordinates):
La  0.0000  0.0000  0.0000  2 La 2.85, 4 Os 2.98
La  0.5000  0.5000  0.0000  2 La 2.85, 4 Os 2.98
Mo  0.1267  0.3733  0.5000  6 Os 2.71-2.78, 3 Mo 2.85
Mo  0.3733  0.8733  0.5000  6 Os 2.71-2.78, 3 Mo 2.85
Mo  0.6267  0.1267  0.5000  6 Os 2.71-2.78, 3 Mo 2.85
Mo  0.8733  0.6267  0.5000  6 Os 2.71-2.78, 3 Mo 2.85
Os  0.1610  0.6610  0.0000  6 Mo 2.71-2.78, 2 Os 2.85, 2 La 2.98
Os  0.3390  0.1610  0.0000  6 Mo 2.71-2.78, 2 Os 2.85, 2 La 2.98
Os  0.6610  0.8390  0.0000  6 Mo 2.71-2.78, 2 Os 2.85, 2 La 2.98
Os  0.8390  0.3390  0.0000  6 Mo 2.71-2.78, 2 Os 2.85, 2 La 2.98

Arrangement x

A plane-wave DFT calculation with PBE was carried out for a relaxed structure of LaMo2Os2.

Output
V: 101.3 Å³ per cell
DOS(E_F): 0.87 states/eV/atom

Unit cell a=6.0809 b=6.0809 c=6.0809 alpha=137.55 beta=137.55 gamma=61.59
Closest atoms and distances in Å follow each position.
Atoms (fractional coordinates):
La  0.0000  0.0000  0.0000  8 Os 3.39, 8 Mo 3.42
Mo  0.2500  0.7500  0.5000  4 Os 2.55
Mo  0.7500  0.2500  0.5000  4 Os 2.55
Os  0.3724  0.3724  0.0000  4 Mo 2.55, 1 Os 2.67
Os  0.6276  0.6276  0.0000  4 Mo 2.55, 1 Os 2.67

The most stable of them is arrangement x.

Arrangement w

A plane-wave DFT calculation with PBE was carried out for a relaxed structure of LaMoP2S.

Output
V: 158.0 Å³ per cell
DOS(E_F): 0.90 states/eV/atom

Unit cell a=5.4306 b=5.4306 c=5.3586 alpha=90.00 beta=90.00 gamma=90.00
Closest atoms and distances in Å follow each position.
Atoms (fractional coordinates):
La  0.0000  0.0000  0.0000  2 S 2.68, 4 P 2.72
Mo  0.5000  0.5000  0.5000  8 P 3.81, 4 S 3.84
P  0.0000  0.5000  0.0000  2 La 2.72
P  0.5000  0.0000  0.0000  2 La 2.72
S  0.0000  0.0000  0.5000  2 La 2.68

Arrangement x

A plane-wave DFT calculation with PBE was carried out for a relaxed structure of LaMoP2S.

Output
V: 107.0 Å³ per cell
DOS(E_F): 0.71 states/eV/atom

Unit cell a=4.6116 b=4.6116 c=5.0333 alpha=90.00 beta=90.00 gamma=90.00
Closest atoms and distances in Å follow each position.
Atoms (fractional coordinates):
La  0.0000  0.0000  0.0000  4 S 3.26, 8 P 3.41
Mo  0.5000  0.5000  0.5000  4 P 2.31, 2 S 2.52
P  0.0000  0.5000  0.5000  2 Mo 2.31
P  0.5000  0.0000  0.5000  2 Mo 2.31
S  0.5000  0.5000  0.0000  2 Mo 2.52

The most stable of them is arrangement x.

Arrangement w

A plane-wave DFT calculation with PBE was carried out for a relaxed structure of LaMoPS2.

Output
V: 163.4 Å³ per cell
DOS(E_F): 1.01 states/eV/atom

Unit cell a=5.4159 b=5.4159 c=5.5703 alpha=90.00 beta=90.00 gamma=90.00
Closest atoms and distances in Å follow each position.
Atoms (fractional coordinates):
La  0.0000  0.0000  0.0000  4 S 2.71, 2 P 2.79
Mo  0.5000  0.5000  0.5000  4 P 3.83, 8 S 3.88
P  0.0000  0.0000  0.5000  2 La 2.79
S  0.0000  0.5000  0.0000  2 La 2.71
S  0.5000  0.0000  0.0000  2 La 2.71

Arrangement x

A plane-wave DFT calculation with PBE was carried out for a relaxed structure of LaMoPS2.

Output
V: 106.0 Å³ per cell
DOS(E_F): 0.62 states/eV/atom

Unit cell a=4.7387 b=4.7387 c=4.7204 alpha=90.00 beta=90.00 gamma=90.00
Closest atoms and distances in Å follow each position.
Atoms (fractional coordinates):
La  0.0000  0.0000  0.0000  8 S 3.34, 4 P 3.35
Mo  0.5000  0.5000  0.5000  2 P 2.36, 4 S 2.37
P  0.5000  0.5000  0.0000  2 Mo 2.36
S  0.0000  0.5000  0.5000  2 Mo 2.37
S  0.5000  0.0000  0.5000  2 Mo 2.37

The most stable of them is arrangement x.

Arrangement w

A plane-wave DFT calculation with PBE was carried out for a relaxed structure of LaTeMoP2.

Output
V: 127.2 Å³ per cell
DOS(E_F): 0.48 states/eV/atom

Unit cell a=4.6585 b=4.6585 c=5.8623 alpha=90.00 beta=90.00 gamma=90.00
Closest atoms and distances in Å follow each position.
Atoms (fractional coordinates):
La  0.0000  0.0000  0.0000  2 Mo 2.93
Te  0.5000  0.5000  0.0000  4 La 3.29
Mo  0.0000  0.0000  0.5000  4 P 2.33
P  0.0000  0.5000  0.5000  2 Mo 2.33
P  0.5000  0.0000  0.5000  2 Mo 2.33

Arrangement x

A plane-wave DFT calculation with PBE was carried out for a relaxed structure of LaTeMoP2.

Output
V: 147.2 Å³ per cell
DOS(E_F): 1.62 states/eV/atom

Unit cell a=5.0336 b=5.0336 c=5.8080 alpha=90.00 beta=90.00 gamma=90.00
Closest atoms and distances in Å follow each position.
Atoms (fractional coordinates):
La  0.0000  0.0000  0.0000  2 Te 2.90
Te  0.0000  0.0000  0.5000  4 P 2.52
Mo  0.5000  0.5000  0.0000  4 La 3.56, 8 P 3.84
P  0.0000  0.5000  0.5000  2 Te 2.52
P  0.5000  0.0000  0.5000  2 Te 2.52

The most stable of them is arrangement w.

Arrangement w

A plane-wave DFT calculation with PBE was carried out for a relaxed structure of LaPa2Mo.

Output
V: 98.8 Å³ per cell
DOS(E_F): 1.93 states/eV/atom

Unit cell a=3.4400 b=3.4400 c=8.3510 alpha=90.00 beta=90.00 gamma=90.00
Closest atoms and distances in Å follow each position.
Atoms (fractional coordinates):
La  0.0000  0.0000  0.0000  4 La 3.44, 8 Pa 3.45
Pa  0.5000  0.5000  0.2924  4 Mo 2.99
Pa  0.5000  0.5000  0.7076  4 Mo 2.99
Mo  0.0000  0.0000  0.5000  8 Pa 2.99

Arrangement x

A plane-wave DFT calculation with PBE was carried out for a relaxed structure of LaPa2Mo.

Output
V: 99.0 Å³ per cell
DOS(E_F): 2.24 states/eV/atom

Unit cell a=11.1190 b=11.1190 c=11.1190 alpha=16.70 beta=16.70 gamma=16.70
Closest atoms and distances in Å follow each position.
Atoms (fractional coordinates):
La  0.0000  0.0000  0.0000  2 Pa 3.22, 6 La 3.23
Pa  0.0980  0.0980  0.0980  3 Mo 2.93, 1 La 3.22, 6 Pa 3.23
Pa  0.9020  0.9020  0.9020  3 Mo 2.93, 1 La 3.22, 6 Pa 3.23
Mo  0.5000  0.5000  0.5000  6 Pa 2.93, 6 Mo 3.23

The most stable of them is arrangement w.